# 1
A geometry-optimized Sr2AcPd9 structure, computed with PBE.

Cell: 5.5120 5.5120 9.6938 Å, 73.48 73.48 60.00°
Closest atoms and distances in Å follow each position.
Element x y z (fractional)
Sr 0.8589 0.8589 0.4234  12 Pd 3.18-3.39, 3 Sr 3.48
Sr 0.1411 0.1411 0.5766  12 Pd 3.18-3.39, 3 Sr 3.48
Ac 0.0000 0.0000 0.0000  6 Pd 3.18
Pd 0.6675 0.6675 0.9976  6 Pd 2.77-2.81
Pd 0.3325 0.3325 0.0024  6 Pd 2.77-2.81
Pd 0.5000 0.5000 0.5000  6 Pd 2.79
Pd 0.4165 0.4165 0.2499  7 Pd 2.75-2.81
Pd 0.9171 0.4165 0.2499  7 Pd 2.75-2.81
Pd 0.4165 0.9171 0.2499  7 Pd 2.75-2.81
Pd 0.5835 0.5835 0.7501  7 Pd 2.75-2.81
Pd 0.5835 0.0829 0.7501  7 Pd 2.75-2.81
Pd 0.0829 0.5835 0.7501  7 Pd 2.75-2.81

ΔE_f	-59.05	kJ/mol of atoms
calculated volume	241	Å³/cell



# 2
A geometry-optimized Sr3Th structure, computed with PBE.

Cell: 6.8888 6.8888 6.8888 Å, 130.71 130.71 72.27°
Closest atoms and distances in Å follow each position.
Element x y z (fractional)
Sr 0.7500 0.2500 0.5000  8 Sr 4.00-4.06, 4 Th 4.00
Sr 0.2500 0.7500 0.5000  4 Th 4.00, 8 Sr 4.00-4.06
Sr 0.5000 0.5000 0.0000  8 Sr 4.00, 4 Th 4.06
Th 0.0000 0.0000 0.0000  12 Sr 4.00-4.06

ΔE_f	38.65	kJ/mol of atoms
calculated volume	184	Å³/cell



# 3
A geometry-optimized MgReS3 structure, computed with PBE.

Cell: 4.6677 4.6677 4.6677 Å, 90.00 90.00 90.00°
Closest atoms and distances in Å follow each position.
Element x y z (fractional)
Re 0.5000 0.5000 0.5000  12 S 3.30
S 0.0000 0.5000 0.0000  2 Mg 2.33
S 0.0000 0.0000 0.5000  2 Mg 2.33
S 0.5000 0.0000 0.0000  2 Mg 2.33
Mg 0.0000 0.0000 0.0000  6 S 2.33

distance to the lowest polymorph of the same formula	976	meV/atom
formation energy (no corrections)	101.0	kJ/mol of atoms
calculated volume	102	Å³/cell



# 4
A geometry-optimized IrSe2 structure, computed with PBE.

Cell: 4.3513 4.3513 4.3513 Å, 60.00 60.00 60.00°
Closest atoms and distances in Å follow each position.
Element x y z (fractional)
Ir 0.0000 0.0000 0.0000  8 Se 2.66
Se 0.7500 0.7500 0.7500  4 Ir 2.66
Se 0.2500 0.2500 0.2500  4 Ir 2.66

formation energy (no corrections)	-2.2	kJ/mol of atoms
calculated volume	58	Å³/cell



# 5
A geometry-optimized TaCr2CS structure, computed with PBE.

Cell: 3.7348 4.8069 3.7348 Å, 90.00 90.00 90.00°
Closest atoms and distances in Å follow each position.
Element x y z (fractional)
Cr 0.0000 0.0000 0.5000  2 C 1.87
Cr 0.5000 0.0000 0.0000  2 C 1.87
S 0.0000 0.5000 0.0000  2 C 2.40, 4 Ta 2.64
C 0.0000 0.0000 0.0000  4 Cr 1.87
Ta 0.5000 0.5000 0.5000  4 S 2.64

formation energy (no corrections)	58.9	kJ/mol of atoms
calculated volume	67	Å³/cell



# 6
A geometry-optimized GdPa2Sn structure, computed with PBE.

Cell: 3.2421 3.2421 12.3180 Å, 82.44 82.44 60.00°
Closest atoms and distances in Å follow each position.
Element x y z (fractional)
Gd 0.5000 0.5000 0.5000  6 Gd 3.24, 6 Pa 3.46
Pa 0.0868 0.0868 0.7395  1 Sn 3.17, 6 Pa 3.24, 3 Gd 3.46
Pa 0.9132 0.9132 0.2605  1 Sn 3.17, 6 Pa 3.24, 3 Gd 3.46
Sn 0.0000 0.0000 0.0000  2 Pa 3.17, 6 Sn 3.24

distance to the lowest polymorph of the same formula	476	meV/atom
ΔE_f	28.78	kJ/mol of atoms
calculated volume	111	Å³/cell



# 7
A geometry-optimized FePb2 structure, computed with PBE.

Cell: 5.6756 5.6756 8.7839 Å, 67.24 67.24 34.20°
Closest atoms and distances in Å follow each position.
Element x y z (fractional)
Fe 0.2061 0.2061 0.9368  2 Fe 2.40
Fe 0.7939 0.7939 0.0632  2 Fe 2.40
Pb 0.4997 0.4997 0.1864  3 Fe 2.93-2.94, 2 Pb 3.26-3.27
Pb 0.8280 0.8280 0.6183  2 Fe 3.06, 3 Pb 3.26-3.34
Pb 0.1720 0.1720 0.3817  2 Fe 3.06, 3 Pb 3.26-3.34
Pb 0.5003 0.5003 0.8136  3 Fe 2.93-2.94, 2 Pb 3.26-3.27

ΔE_f	32.73	kJ/mol of atoms
calculated volume	145	Å³/cell



# 8
A geometry-optimized LiLaY2 structure, computed with PBE.

Cell: 3.8008 5.7562 5.7167 Å, 90.00 90.00 90.00°
Closest atoms and distances in Å follow each position.
Element x y z (fractional)
La 0.5000 0.0000 0.5000  4 Y 3.43, 4 Li 3.45, 2 La 3.80
Li 0.0000 0.5000 0.5000  4 Y 3.43, 4 La 3.45, 2 Li 3.80
Y 0.0000 0.0000 0.0000  4 La 3.43, 6 Y 3.45-3.80
Y 0.5000 0.5000 0.0000  4 Li 3.43, 6 Y 3.45-3.80

distance to the lowest polymorph of the same formula	60	meV/atom
ΔE_f	12.54	kJ/mol of atoms
calculated volume	125	Å³/cell